A geometry-optimized LiMg2ScCd2Au2 structure. Source: OQMD, functional PBE.

```
LiMg2ScCd2Au2
1.0
4.709 0.000 0.000
0.000 4.709 0.000
0.000 0.000 6.679
Li Mg Sc Cd Au
1 2 1 2 2
Cartesian
0.000 0.000 0.000
0.000 2.355 1.541
2.355 0.000 5.138
2.355 2.355 3.339
0.000 2.355 5.069
2.355 0.000 1.609
0.000 0.000 3.339
2.355 2.355 0.000
```

Properties
DFT total energy: -0.210 Ry/atom
SG: P-4m2 (115)